Compound: FeBAsC
Source: Alexandria via LeMat-Bulk
Functional: PBE
Structure: relaxed

Cell lengths 2.940, 2.844, 5.302 Å; angles 90.00, 96.53, 90.00 degrees
Site moments in Bohr magnetons follow the coordinates.
Fractional positions:
Fe 0.588 0.000 0.112  0.43
B 0.085 0.500 0.457  0.00
C 0.136 0.000 0.364  -0.01
As 0.040 0.500 0.862  -0.02

- calculated formation energy (meV/atom) = 258.3
- space group = Pm
- magnetic moment (μB per atom) = 0.095
- final energy (eV/atom) = -7.00

Compound: CaSeF6
Source: Alexandria via LeMat-Bulk
Functional: PBE
Structure: relaxed

Cell lengths 5.495, 5.495, 5.905 Å; angles 62.25, 62.25, 59.97 degrees
Fractional positions:
F 0.891 0.651 0.230
F 0.349 0.772 0.770
F 0.651 0.228 0.230
F 0.772 0.109 0.770
F 0.109 0.349 0.770
F 0.228 0.891 0.230
Se 0.000 0.000 0.000
Ca 0.500 0.500 0.500

- space group = R-3
- magnetic moment (μB per atom) = 0.000
- E_form (uncorrected) (eV per formula unit) = -20.1
- final energy (eV/atom) = -4.61

Compound: PrPIrF
Source: Alexandria via LeMat-Bulk
Functional: PBE
Structure: relaxed

Cell lengths 3.955, 3.955, 8.618 Å; angles 90.00, 90.00, 90.00 degrees
Fractional positions:
P 0.000 0.500 0.840
P 0.500 0.000 0.160
Pr 0.000 0.500 0.309
Pr 0.500 0.000 0.691
Ir 0.500 0.500 0.000
Ir 0.000 0.000 0.000
F 0.000 0.000 0.500
F 0.500 0.500 0.500

- space group = P4/nmm
- magnetic moment (μB per atom) = 0.000
- E_form (uncorrected) (eV per formula unit) = -8.0
- final energy (eV/atom) = -7.24

Compound: Ti2CSe
Source: Alexandria via LeMat-Bulk
Functional: PBE
Structure: relaxed

Cell lengths 3.246, 3.246, 6.216 Å; angles 74.87, 74.87, 60.00 degrees
Fractional positions:
C 0.669 0.669 0.993
Ti 0.270 0.270 0.190
Ti 0.061 0.061 0.816
Se 0.500 0.500 0.501

- space group = R3m
- magnetic moment (μB per atom) = 0.000
- E_form (uncorrected) (eV per formula unit) = -4.1
- final energy (eV/atom) = -8.15

Compound: TbGa2NiRu
Source: Alexandria via LeMat-Bulk
Functional: PBE
Structure: relaxed

Cell lengths 4.145, 4.145, 5.855 Å; angles 110.73, 110.73, 90.00 degrees
Fractional positions:
Ni 0.750 0.250 0.500
Ru 0.250 0.750 0.500
Ga 0.374 0.374 0.749
Ga 0.626 0.626 0.251
Tb 0.000 0.000 0.000

- calculated formation energy (meV/atom) = -503.4
- space group = I-4m2
- magnetic moment (μB per atom) = 0.000
- final energy (eV/atom) = -5.65

Compound: SmY2Co
Source: Alexandria via LeMat-Bulk
Functional: PBE
Structure: relaxed

Cell lengths 3.662, 6.371, 9.536 Å; angles 90.00, 90.00, 106.69 degrees
Fractional positions:
Y 0.358 0.717 0.573
Y 0.642 0.283 0.427
Y 0.358 0.717 0.927
Y 0.642 0.283 0.073
Co 0.752 0.504 0.750
Co 0.248 0.496 0.250
Sm 0.914 0.829 0.250
Sm 0.086 0.171 0.750

- calculated formation energy (meV/atom) = -110.8
- space group = Cmcm
- magnetic moment (μB per atom) = 0.000
- final energy (eV/atom) = -6.30

Compound: AgSnTeI
Source: Alexandria via LeMat-Bulk
Functional: PBE
Structure: relaxed

Cell lengths 4.333, 4.333, 16.880 Å; angles 82.63, 82.63, 60.00 degrees
Fractional positions:
Sn 0.194 0.194 0.419
Sn 0.806 0.806 0.581
Te 0.106 0.106 0.683
Te 0.894 0.894 0.317
Ag 0.602 0.602 0.194
Ag 0.398 0.398 0.806
I 0.705 0.705 0.885
I 0.295 0.295 0.115

- space group = R-3m
- magnetic moment (μB per atom) = 0.000
- E_form (uncorrected) (eV per formula unit) = -0.6
- final energy (eV/atom) = -3.04

Compound: Ba2SiCl
Source: Alexandria via LeMat-Bulk
Functional: PBE
Structure: relaxed

Cell lengths 7.046, 7.046, 9.277 Å; angles 67.68, 67.68, 90.00 degrees
Site moments in Bohr magnetons follow the coordinates.
Fractional positions:
Ba 0.875 0.874 0.750  0.06
Ba 0.375 0.376 0.750  0.06
Ba 0.624 0.125 0.250  0.05
Ba 0.126 0.625 0.250  0.05
Si 0.500 0.500 0.000  0.23
Si 0.250 0.750 0.500  0.23
Cl 0.750 0.250 0.500  0.00
Cl 0.000 0.000 0.000  0.00

- space group = I-42d
- magnetic moment (μB per atom) = 0.250
- E_form (uncorrected) (eV per formula unit) = -3.2
- final energy (eV/atom) = -3.58

Compound: K4Dy3HfO8
Source: Alexandria via LeMat-Bulk
Functional: PBE
Structure: relaxed

Cell lengths 6.859, 7.400, 6.859 Å; angles 117.61, 120.00, 90.00 degrees
Fractional positions:
Dy 0.500 0.500 0.500
Dy 0.000 0.500 0.500
Dy 0.500 0.500 0.000
K 0.500 0.000 0.000
K 0.000 0.000 0.500
K 0.500 0.000 0.500
K 0.000 0.000 0.000
O 0.216 0.681 0.965
O 0.216 0.681 0.432
O 0.729 0.687 0.458
O 0.784 0.319 0.568
O 0.750 0.681 0.965
O 0.250 0.319 0.035
O 0.784 0.319 0.035
O 0.271 0.313 0.542
Hf 0.000 0.500 0.000

- space group = R-3m
- magnetic moment (μB per atom) = 0.000
- E_form (uncorrected) (eV per formula unit) = -42.7
- final energy (eV/atom) = -6.90

Compound: MoIr5RuW2
Source: Alexandria via LeMat-Bulk
Functional: PBE
Structure: relaxed

Cell lengths 7.430, 7.430, 7.506 Å; angles 119.67, 119.67, 90.00 degrees
Fractional positions:
Ir 0.671 0.171 0.737
Ir 0.829 0.933 0.263
Ir 0.329 0.829 0.263
Ir 0.567 0.671 0.737
Ir 0.000 0.000 0.000
Ir 0.171 0.067 0.737
Ir 0.933 0.433 0.263
Ir 0.500 0.500 0.000
Ir 0.433 0.329 0.263
Ir 0.067 0.567 0.737
W 0.887 0.613 0.000
W 0.113 0.387 0.000
W 0.613 0.113 0.000
W 0.387 0.887 0.000
Ru 0.750 0.250 0.500
Ru 0.250 0.750 0.500
Mo 0.250 0.250 0.500
Mo 0.750 0.750 0.500

- calculated formation energy (meV/atom) = 596.8
- space group = I4/mcm
- magnetic moment (μB per atom) = 0.000
- final energy (eV/atom) = -9.44

Compound: La2PrCu6
Source: Alexandria via LeMat-Bulk
Functional: PBE
Structure: relaxed

Cell lengths 3.839, 7.492, 7.492 Å; angles 120.00, 90.00, 90.00 degrees
Fractional positions:
Cu 0.500 0.333 0.333
Cu 0.500 0.000 0.667
Cu 0.500 0.667 0.667
Cu 0.500 0.333 0.000
Cu 0.500 0.000 0.333
Cu 0.500 0.667 0.000
La 0.000 0.333 0.667
La 0.000 0.667 0.333
Pr 0.000 0.000 0.000

- calculated formation energy (meV/atom) = -218.2
- space group = P6/mmm
- magnetic moment (μB per atom) = 0.000
- final energy (eV/atom) = -4.58

Compound: Ca3In4Pd4
Source: Alexandria via LeMat-Bulk
Functional: PBE
Structure: relaxed

Cell lengths 4.304, 7.897, 8.667 Å; angles 117.10, 104.38, 90.00 degrees
Fractional positions:
In 0.329 0.130 0.658
In 0.671 0.472 0.342
In 0.329 0.528 0.658
In 0.671 0.870 0.342
Pd 0.500 0.818 0.000
Pd 0.779 0.279 0.558
Pd 0.500 0.182 0.000
Pd 0.221 0.721 0.442
Ca 0.881 0.881 0.762
Ca 0.000 0.500 0.000
Ca 0.119 0.119 0.238

- calculated formation energy (meV/atom) = -645.1
- space group = Immm
- magnetic moment (μB per atom) = 0.000
- final energy (eV/atom) = -4.08

Compound: Ho3CuSi2
Source: Alexandria via LeMat-Bulk
Functional: PBE
Structure: relaxed

Cell lengths 4.151, 11.302, 11.212 Å; angles 90.00, 90.00, 90.00 degrees
Fractional positions:
Ho 0.250 0.378 0.059
Ho 0.250 0.122 0.559
Ho 0.750 0.622 0.941
Ho 0.250 0.696 0.208
Ho 0.250 0.437 0.378
Ho 0.750 0.196 0.292
Ho 0.750 0.937 0.122
Ho 0.250 0.804 0.708
Ho 0.750 0.563 0.622
Ho 0.750 0.878 0.441
Ho 0.250 0.063 0.878
Ho 0.750 0.304 0.792
Si 0.750 0.185 0.024
Si 0.750 0.995 0.692
Si 0.750 0.505 0.192
Si 0.250 0.495 0.808
Si 0.250 0.685 0.476
Si 0.750 0.315 0.524
Si 0.250 0.005 0.308
Si 0.250 0.815 0.976
Cu 0.750 0.636 0.368
Cu 0.750 0.864 0.868
Cu 0.250 0.364 0.632
Cu 0.250 0.136 0.132

- space group = Pnma
- magnetic moment (μB per atom) = 0.000
- E_form (uncorrected) (eV per formula unit) = -3.9
- final energy (eV/atom) = -5.43

Compound: MgSc2Tc
Source: Alexandria via LeMat-Bulk
Functional: PBE
Structure: relaxed

Cell lengths 4.748, 4.748, 4.748 Å; angles 60.00, 60.00, 60.00 degrees
Fractional positions:
Tc 0.250 0.250 0.250
Sc 0.000 0.000 0.000
Sc 0.750 0.750 0.750
Mg 0.500 0.500 0.500

- calculated formation energy (meV/atom) = 91.1
- space group = F-43m
- magnetic moment (μB per atom) = 0.000
- final energy (eV/atom) = -6.06

Compound: MgSc2InC
Source: Alexandria via LeMat-Bulk
Functional: PBE
Structure: relaxed

Cell lengths 4.553, 4.553, 4.474 Å; angles 90.00, 90.00, 90.00 degrees
Fractional positions:
In 0.500 0.500 0.500
C 0.000 0.000 0.000
Mg 0.000 0.000 0.500
Sc 0.500 0.000 0.000
Sc 0.000 0.500 0.000

- calculated formation energy (meV/atom) = -401.7
- space group = P4/mmm
- magnetic moment (μB per atom) = 0.000
- final energy (eV/atom) = -5.65

Compound: Na3ScCo
Source: Alexandria via LeMat-Bulk
Functional: PBE
Structure: relaxed

Cell lengths 6.089, 6.089, 6.089 Å; angles 90.00, 90.00, 90.00 degrees
Site moments in Bohr magnetons follow the coordinates.
Fractional positions:
Na 0.500 0.000 0.000  -0.02
Na 0.000 0.500 0.000  -0.02
Na 0.000 0.000 0.500  -0.02
Sc 0.000 0.000 0.000  -0.97
Co 0.500 0.500 0.500  -2.17

- calculated formation energy (meV/atom) = 1551.7
- space group = Pm-3m
- magnetic moment (μB per atom) = 0.747
- final energy (eV/atom) = -1.93

Compound: Nd12Dy5Er
Source: Alexandria via LeMat-Bulk
Functional: PBE
Structure: relaxed

Cell lengths 15.384, 10.895, 5.147 Å; angles 90.00, 90.00, 45.09 degrees
Fractional positions:
Nd 0.835 0.000 0.500
Nd 0.168 0.333 0.500
Nd 0.331 0.667 0.000
Nd 0.998 0.333 0.000
Nd 0.669 0.333 0.000
Nd 0.665 0.000 0.000
Nd 0.832 0.667 0.500
Nd 0.165 0.000 0.500
Nd 0.501 0.667 0.500
Nd 0.002 0.667 0.000
Nd 0.499 0.333 0.500
Nd 0.335 0.000 0.000
Er 0.000 0.000 0.000
Dy 0.334 0.333 0.000
Dy 0.500 0.000 0.500
Dy 0.167 0.667 0.500
Dy 0.667 0.667 0.000
Dy 0.833 0.333 0.500

- calculated formation energy (meV/atom) = 19.4
- space group = Cmmm
- magnetic moment (μB per atom) = 0.000
- final energy (eV/atom) = -4.69

Compound: BiSbS
Source: Alexandria via LeMat-Bulk
Functional: PBE
Structure: relaxed

Cell lengths 3.487, 5.015, 5.204 Å; angles 90.00, 90.00, 83.82 degrees
Fractional positions:
Sb 0.866 0.968 0.500
S 0.751 0.209 0.000
Bi 0.155 0.641 0.000

- space group = Pm
- magnetic moment (μB per atom) = 0.000
- E_form (uncorrected) (eV per formula unit) = 0.4
- final energy (eV/atom) = -3.90

Compound: HfZn
Source: Alexandria via LeMat-Bulk
Functional: PBE
Structure: relaxed

Cell lengths 4.616, 4.616, 5.355 Å; angles 90.00, 90.00, 120.00 degrees
Fractional positions:
Hf 0.667 0.333 0.250
Hf 0.333 0.667 0.750
Zn 0.333 0.667 0.250
Zn 0.667 0.333 0.750

- calculated formation energy (meV/atom) = 861.9
- space group = P6_3/mmc
- magnetic moment (μB per atom) = 0.000
- final energy (eV/atom) = -4.75

Compound: K3In8Sn3
Source: Alexandria via LeMat-Bulk
Functional: PBE
Structure: relaxed

Cell lengths 5.119, 9.649, 9.649 Å; angles 72.89, 74.62, 74.62 degrees
Fractional positions:
In 0.352 0.923 0.372
In 0.352 0.372 0.923
In 0.841 0.788 0.530
In 0.159 0.470 0.212
In 0.648 0.628 0.077
In 0.648 0.077 0.628
In 0.159 0.212 0.470
In 0.841 0.530 0.788
Sn 0.500 0.000 0.000
Sn 0.000 0.805 0.195
Sn 0.000 0.195 0.805
K 0.194 0.806 0.806
K 0.806 0.194 0.194
K 0.500 0.500 0.500

- calculated formation energy (meV/atom) = -112.5
- space group = Immm
- magnetic moment (μB per atom) = 0.000
- final energy (eV/atom) = -2.77

| no. | calculated volume (Å³ per atom) |
| --- | --- |
| 1 | 11.01 |
| 2 | 16.27 |
| 3 | 16.85 |
| 4 | 13.52 |
| 5 | 17.41 |
| 6 | 26.64 |
| 7 | 33.93 |
| 8 | 48.56 |
| 9 | 15.92 |
| 10 | 16.44 |
| 11 | 20.74 |
| 12 | 22.89 |
| 13 | 21.92 |
| 14 | 18.92 |
| 15 | 18.55 |
| 16 | 45.16 |
| 17 | 33.94 |
| 18 | 30.15 |
| 19 | 24.70 |
| 20 | 30.72 |